In2AgAs2 | PBE | optimized geometry

Results
* calculated volume: 25.4 Å³/atom
* relative energy among the computed polymorphs: 0.1924 eV per atom
* theoretical density: 6.36 Mg/m³
* VASP energy: -16.039 eV per cell

Cell: 4.702 4.702 6.646 Å, 69.28 69.28 90.00°
Positions (direct):
As (0.250, 0.750, 0.500)
As (0.750, 0.250, 0.500)
Ag (0.000, 0.000, 0.000)
In (0.381, 0.381, 0.239)
In (0.619, 0.619, 0.761)

InAgAs | PBE | optimized geometry

Results
* calculated volume: 21.8 Å³/atom
* theoretical density: 7.55 Mg/m³
* VASP energy: -9.848 eV per cell

Cell: 4.832 4.832 3.238 Å, 90.00 90.00 120.00°
Positions (direct):
Ag (0.000, 0.000, 0.170)
In (0.667, 0.333, 0.663)
As (0.333, 0.667, 0.167)

InAg2As | PBE | optimized geometry

Results
* calculated volume: 20.0 Å³/atom
* theoretical density: 8.40 Mg/m³
* VASP energy: -12.699 eV per cell

Cell: 4.233 4.233 4.472 Å, 90.00 90.00 90.00°
Positions (direct):
In (0.000, 0.500, 0.500)
Ag (0.500, 0.500, 0.000)
Ag (0.000, 0.000, 0.000)
As (0.500, 0.000, 0.500)

InAg2As | PBE | optimized geometry

Results
* calculated volume: 19.9 Å³/atom
* theoretical density: 8.45 Mg/m³
* VASP energy: -12.557 eV per cell

Cell: 3.072 3.072 8.444 Å, 90.00 90.00 91.28°
Positions (direct):
Ag (0.000, 0.000, 0.011)
Ag (0.000, 0.000, 0.489)
In (0.500, 0.500, 0.750)
As (0.500, 0.500, 0.250)

InAgAs | PBE | optimized geometry

Results
* calculated volume: 24.4 Å³/atom
* theoretical density: 6.76 Mg/m³
* VASP energy: -9.916 eV per cell

Cell: 4.693 4.693 4.693 Å, 60.00 60.00 60.00°
Positions (direct):
In (0.000, 0.000, 0.000)
Ag (0.500, 0.500, 0.500)
As (0.750, 0.750, 0.750)

InAg2As | PBE | optimized geometry

Results
* calculated volume: 20.3 Å³/atom
* theoretical density: 8.31 Mg/m³
* VASP energy: -12.715 eV per cell

Cell: 3.785 3.785 5.657 Å, 90.00 90.00 90.00°
Positions (direct):
Ag (0.500, 0.500, 0.247)
Ag (0.000, 0.000, 0.012)
In (0.500, 0.500, 0.746)
As (0.000, 0.000, 0.495)

In3AgAs | PBE | optimized geometry

Results
* calculated volume: 31.6 Å³/atom
* relative energy among the computed polymorphs: 0.0462 eV per atom
* theoretical density: 5.54 Mg/m³
* VASP energy: -13.502 eV per cell

Cell: 5.407 5.407 5.407 Å, 90.00 90.00 90.00°
Positions (direct):
Ag (0.500, 0.500, 0.500)
As (0.000, 0.000, 0.000)
In (0.500, 0.000, 0.000)
In (0.000, 0.000, 0.500)
In (0.000, 0.500, 0.000)

In3AgAs | PBE | optimized geometry

Results
* calculated volume: 29.6 Å³/atom
* relative energy among the computed polymorphs: 0.0000 eV per atom
* theoretical density: 5.92 Mg/m³
* VASP energy: -13.733 eV per cell

Cell: 5.287 5.287 5.287 Å, 90.00 90.00 90.00°
Positions (direct):
In (0.500, 0.000, 0.000)
In (0.000, 0.000, 0.500)
In (0.000, 0.500, 0.000)
As (0.500, 0.500, 0.500)
Ag (0.000, 0.000, 0.000)

In2AgAs | PBE | optimized geometry

Results
* calculated volume: 29.0 Å³/atom
* relative energy among the computed polymorphs: 0.1151 eV per atom
* theoretical density: 5.91 Mg/m³
* VASP energy: -24.913 eV per cell

Cell: 6.976 6.976 6.857 Å, 59.43 59.43 90.00°
Positions (direct):
Ag (0.000, 0.000, 0.000)
Ag (0.750, 0.250, 0.500)
As (0.250, 0.750, 0.500)
As (0.500, 0.500, 0.000)
In (0.614, 0.125, 0.250)
In (0.875, 0.864, 0.750)
In (0.136, 0.625, 0.250)
In (0.375, 0.386, 0.750)

In12Ag3As5 | PBE | optimized geometry

Results
* calculated volume: 27.6 Å³/atom
* theoretical density: 6.24 Mg/m³
* VASP energy: -258.190 eV per cell

Cell: 14.210 14.210 14.210 Å, 109.47 109.47 109.47°
Positions (direct):
In (0.765, 0.326, 0.896)
In (0.439, 0.674, 0.069)
In (0.569, 0.939, 0.674)
In (0.604, 0.870, 0.431)
In (0.561, 0.326, 0.931)
In (0.604, 0.735, 0.674)
In (0.396, 0.130, 0.569)
In (0.130, 0.735, 0.561)
In (0.061, 0.431, 0.826)
In (0.561, 0.235, 0.130)
In (0.326, 0.765, 0.396)
In (0.326, 0.561, 0.431)
In (0.370, 0.939, 0.765)
In (0.674, 0.439, 0.569)
In (0.431, 0.061, 0.326)
In (0.870, 0.604, 0.931)
In (0.130, 0.396, 0.069)
In (0.826, 0.896, 0.265)
In (0.265, 0.396, 0.826)
In (0.396, 0.265, 0.326)
In (0.069, 0.174, 0.439)
In (0.235, 0.561, 0.630)
In (0.061, 0.630, 0.735)
In (0.826, 0.931, 0.061)
In (0.931, 0.826, 0.561)
In (0.735, 0.130, 0.061)
In (0.735, 0.604, 0.174)
In (0.765, 0.439, 0.370)
In (0.674, 0.235, 0.604)
In (0.896, 0.826, 0.765)
In (0.870, 0.265, 0.439)
In (0.265, 0.870, 0.939)
In (0.896, 0.069, 0.630)
In (0.174, 0.104, 0.735)
In (0.439, 0.765, 0.870)
In (0.939, 0.370, 0.265)
In (0.104, 0.931, 0.370)
In (0.630, 0.569, 0.896)
In (0.069, 0.896, 0.130)
In (0.174, 0.069, 0.939)
In (0.235, 0.674, 0.104)
In (0.569, 0.630, 0.396)
In (0.630, 0.061, 0.235)
In (0.939, 0.569, 0.174)
In (0.104, 0.174, 0.235)
In (0.431, 0.370, 0.604)
In (0.931, 0.104, 0.870)
In (0.370, 0.431, 0.104)
Ag (0.125, 0.250, 0.875)
Ag (0.875, 0.750, 0.125)
Ag (0.750, 0.375, 0.125)
Ag (0.750, 0.875, 0.625)
Ag (0.250, 0.125, 0.375)
Ag (0.625, 0.375, 0.750)
Ag (0.875, 0.125, 0.250)
Ag (0.375, 0.625, 0.250)
Ag (0.250, 0.625, 0.875)
Ag (0.375, 0.750, 0.625)
Ag (0.625, 0.250, 0.375)
Ag (0.125, 0.875, 0.750)
As (0.000, 0.000, 0.000)
As (0.000, 0.500, 0.000)
As (0.000, 0.500, 0.500)
As (0.250, 0.375, 0.625)
As (0.625, 0.875, 0.250)
As (0.125, 0.375, 0.250)
As (0.500, 0.500, 0.500)
As (0.000, 0.000, 0.500)
As (0.750, 0.125, 0.875)
As (0.500, 0.500, 0.000)
As (0.500, 0.000, 0.500)
As (0.750, 0.625, 0.375)
As (0.375, 0.250, 0.125)
As (0.875, 0.625, 0.750)
As (0.500, 0.000, 0.000)
As (0.125, 0.750, 0.375)
As (0.375, 0.125, 0.750)
As (0.875, 0.250, 0.625)
As (0.625, 0.750, 0.875)
As (0.250, 0.875, 0.125)

In2AgAs2 | PBE | optimized geometry

Results
* calculated volume: 22.7 Å³/atom
* relative energy among the computed polymorphs: 0.1075 eV per atom
* theoretical density: 7.12 Mg/m³
* VASP energy: -32.927 eV per cell

Cell: 7.830 7.830 3.707 Å, 90.00 90.00 90.00°
Positions (direct):
Ag (0.500, 0.500, 0.000)
Ag (0.000, 0.000, 0.000)
In (0.853, 0.647, 0.000)
In (0.353, 0.853, 0.000)
In (0.647, 0.147, 0.000)
In (0.147, 0.353, 0.000)
As (0.847, 0.347, 0.500)
As (0.153, 0.653, 0.500)
As (0.653, 0.847, 0.500)
As (0.347, 0.153, 0.500)

InAg2As | PBE | optimized geometry

Results
* calculated volume: 20.3 Å³/atom
* theoretical density: 8.29 Mg/m³
* VASP energy: -12.555 eV per cell

Cell: 8.864 8.864 8.864 Å, 21.40 21.40 21.40°
Positions (direct):
In (0.750, 0.750, 0.750)
Ag (0.504, 0.504, 0.504)
Ag (0.996, 0.996, 0.996)
As (0.250, 0.250, 0.250)